(1)
Here is crystalline Zr2PW at its relaxed geometry from Alexandria via LeMat-Bulk. Energies are from GGA-PBE.

a b c (Å): 7.976 7.976 6.164
angles (deg): 49.69 49.69 90.00
Element x y z (fractional)
P (0.250, 0.750, 0.500)
P (0.500, 0.500, 0.000)
Zr (0.554, 0.125, 0.250)
Zr (0.875, 0.804, 0.750)
Zr (0.196, 0.625, 0.250)
Zr (0.375, 0.446, 0.750)
W (0.750, 0.250, 0.500)
W (0.000, 0.000, 0.000)

Formation energy = 0.698 eV/f.u.
Calculated total energy = -69.52 eV for the cell shown
Crystal system = tetragonal
Volume = 19.8 Å³ per atom
Symmetry = I-42d, No. 122

(2)
Here is crystalline Al2PdPt4 at its relaxed geometry from Alexandria via LeMat-Bulk. Energies are from GGA-PBE.

a b c (Å): 4.835 4.835 6.311
angles (deg): 112.52 112.52 90.00
Element x y z (fractional)
Pd (0.000, 0.000, 0.000)
Pt (0.000, 0.500, 0.000)
Pt (0.250, 0.750, 0.500)
Pt (0.750, 0.250, 0.500)
Pt (0.500, 0.000, 0.000)
Al (0.355, 0.355, 0.710)
Al (0.645, 0.645, 0.290)

Formation energy = -0.693 eV/f.u.
Calculated total energy = -37.53 eV for the cell shown
Crystal system = tetragonal
Volume = 17.7 Å³ per atom
Symmetry = I4/mmm, No. 139

(3)
Here is crystalline VFe2Bi at its relaxed geometry from Alexandria via LeMat-Bulk. Energies are from GGA-PBE.

a b c (Å): 4.003 4.003 9.266
angles (deg): 77.52 77.52 90.00
Last column: magnetic moment on the atom in μB.
Element x y z (fractional)
V (0.500, 0.500, 0.000)  -1.69
V (0.250, 0.750, 0.500)  -1.69
Fe (0.194, 0.625, 0.250)  2.35
Fe (0.875, 0.806, 0.750)  2.35
Fe (0.375, 0.444, 0.750)  2.35
Fe (0.556, 0.125, 0.250)  2.35
Bi (0.750, 0.250, 0.500)  0.01
Bi (0.000, 0.000, 0.000)  0.01

Formation energy = 2.801 eV/f.u.
Calculated total energy = -54.25 eV for the cell shown
Crystal system = tetragonal
ΔE to the lowest computed polymorph = 291 meV per atom
Volume = 17.7 Å³ per atom
Symmetry = I-42d, No. 122

(4)
Here is crystalline Na3ReRh at its relaxed geometry from Alexandria via LeMat-Bulk. Energies are from GGA-PBE.

a b c (Å): 5.265 5.265 5.265
angles (deg): 90.00 90.00 90.00
Last column: magnetic moment on the atom in μB.
Element x y z (fractional)
Na (0.000, 0.000, 0.500)  -0.01
Na (0.500, 0.000, 0.000)  -0.02
Na (0.000, 0.500, 0.000)  -0.01
Re (0.500, 0.500, 0.500)  3.71
Rh (0.000, 0.000, 0.000)  0.56

Formation energy = 8.480 eV/f.u.
Calculated total energy = -15.28 eV for the cell shown
Crystal system = cubic
ΔE to the lowest computed polymorph = 0 meV per atom
Volume = 29.2 Å³ per atom
Symmetry = Pm-3m, No. 221

(5)
Here is crystalline Cs3SiGe2 at its relaxed geometry from Alexandria via LeMat-Bulk. Energies are from GGA-PBE.

a b c (Å): 4.046 12.055 13.024
angles (deg): 68.43 81.06 80.34
Element x y z (fractional)
Si (0.577, 0.516, 0.330)
Si (0.423, 0.484, 0.670)
Cs (0.807, 0.780, 0.606)
Cs (0.968, 0.822, 0.242)
Cs (0.193, 0.220, 0.394)
Cs (0.325, 0.323, 0.027)
Cs (0.675, 0.677, 0.973)
Cs (0.032, 0.178, 0.758)
Ge (0.545, 0.379, 0.531)
Ge (0.872, 0.472, 0.784)
Ge (0.455, 0.621, 0.469)
Ge (0.128, 0.528, 0.216)

Calculated total energy = -34.05 eV for the cell shown
Crystal system = monoclinic
Volume = 48.3 Å³ per atom
Energy relative to the elements, uncorrected = 0.0321 eV/atom
Symmetry = C2/m, No. 12

(6)
Here is crystalline YGa4Cu4 at its relaxed geometry from Alexandria via LeMat-Bulk. Energies are from GGA-PBE.

a b c (Å): 4.456 8.159 8.159
angles (deg): 90.00 90.00 90.00
Element x y z (fractional)
Cu (0.500, 0.211, 0.112)
Cu (0.000, 0.711, 0.612)
Cu (0.000, 0.388, 0.711)
Cu (0.000, 0.612, 0.289)
Cu (0.500, 0.888, 0.211)
Cu (0.000, 0.289, 0.388)
Cu (0.500, 0.789, 0.888)
Cu (0.500, 0.112, 0.789)
Y (0.000, 0.000, 0.000)
Y (0.500, 0.500, 0.500)
Ga (0.500, 0.867, 0.598)
Ga (0.500, 0.402, 0.867)
Ga (0.500, 0.598, 0.133)
Ga (0.000, 0.098, 0.633)
Ga (0.000, 0.902, 0.367)
Ga (0.000, 0.633, 0.902)
Ga (0.000, 0.367, 0.098)
Ga (0.500, 0.133, 0.402)

Formation energy = -1.477 eV/f.u.
Calculated total energy = -72.87 eV for the cell shown
Crystal system = tetragonal
Volume = 16.5 Å³ per atom
Symmetry = I4/m, No. 87

(7)
Here is crystalline SiHg2As at its relaxed geometry from Alexandria via LeMat-Bulk. Energies are from GGA-PBE.

a b c (Å): 5.742 5.742 5.742
angles (deg): 137.36 137.36 61.88
Element x y z (fractional)
As (0.750, 0.250, 0.500)
Hg (0.000, 0.000, 0.000)
Hg (0.500, 0.500, 0.000)
Si (0.250, 0.750, 0.500)

Calculated total energy = -8.75 eV for the cell shown
Crystal system = tetragonal
ΔE to the lowest computed polymorph = 382 meV per atom
Volume = 21.5 Å³ per atom
Energy relative to the elements, uncorrected = 0.4822 eV/atom
Symmetry = I4/mmm, No. 139

(8)
Here is crystalline BeOsBr2 at its relaxed geometry from Alexandria via LeMat-Bulk. Energies are from GGA-PBE.

a b c (Å): 3.131 3.131 7.068
angles (deg): 90.00 90.00 90.00
Last column: magnetic moment on the atom in μB.
Element x y z (fractional)
Br (0.000, 0.000, 0.519)  0.11
Br (0.000, 0.000, 0.981)  0.11
Be (0.500, 0.500, 0.750)  -0.06
Os (0.500, 0.500, 0.250)  1.75

Calculated total energy = -12.62 eV for the cell shown
Crystal system = tetragonal
ΔE to the lowest computed polymorph = 1240 meV per atom
Volume = 17.3 Å³ per atom
Energy relative to the elements, uncorrected = 1.4213 eV/atom
Symmetry = P4/mmm, No. 123

(9)
Here is crystalline TlSiNi at its relaxed geometry from Alexandria via LeMat-Bulk. Energies are from GGA-PBE.

a b c (Å): 6.226 6.227 3.095
angles (deg): 75.61 75.61 28.79
Element x y z (fractional)
Ni (0.953, 0.953, 0.047)
Tl (0.663, 0.663, 0.337)
Si (0.383, 0.383, 0.617)

Calculated total energy = -13.15 eV for the cell shown
Crystal system = tetragonal
ΔE to the lowest computed polymorph = 0 meV per atom
Volume = 18.6 Å³ per atom
Energy relative to the elements, uncorrected = 0.1414 eV/atom
Symmetry = I4mm, No. 107

(10)
Here is crystalline TbSm5Sn4 at its relaxed geometry from Alexandria via LeMat-Bulk. Energies are from GGA-PBE.

a b c (Å): 5.376 7.241 11.221
angles (deg): 129.89 103.86 90.00
Element x y z (fractional)
Sn (0.325, 0.900, 0.650)
Sn (0.675, 0.100, 0.350)
Sn (0.008, 0.263, 0.017)
Sn (0.992, 0.737, 0.983)
Sm (0.834, 0.163, 0.668)
Sm (0.166, 0.837, 0.332)
Sm (0.167, 0.326, 0.333)
Sm (0.833, 0.674, 0.667)
Sm (0.500, 0.500, 0.000)
Tb (0.500, 0.000, 0.000)

Formation energy = -5.503 eV/f.u.
Calculated total energy = -49.74 eV for the cell shown
Crystal system = monoclinic
Volume = 31.8 Å³ per atom
Symmetry = C2/m, No. 12

(11)
Here is crystalline Sm4Bi2Au at its relaxed geometry from Alexandria via LeMat-Bulk. Energies are from GGA-PBE.

a b c (Å): 4.398 7.594 8.475
angles (deg): 117.54 105.04 90.00
Element x y z (fractional)
Sm (0.113, 0.784, 0.225)
Sm (0.382, 0.727, 0.765)
Sm (0.618, 0.273, 0.235)
Sm (0.887, 0.216, 0.775)
Bi (0.259, 0.254, 0.518)
Bi (0.741, 0.746, 0.482)
Au (0.000, 0.000, 0.000)

Formation energy = -3.997 eV/f.u.
Calculated total energy = -33.91 eV for the cell shown
Crystal system = monoclinic
Volume = 34.3 Å³ per atom
Symmetry = C2/m, No. 12

(12)
Here is crystalline TaRe2Ir2 at its relaxed geometry from Alexandria via LeMat-Bulk. Energies are from GGA-PBE.

a b c (Å): 7.592 7.592 2.765
angles (deg): 90.00 90.00 90.00
Element x y z (fractional)
Ir (0.672, 0.828, 0.500)
Ir (0.828, 0.328, 0.500)
Ir (0.328, 0.172, 0.500)
Ir (0.172, 0.672, 0.500)
Ta (0.500, 0.500, 0.000)
Ta (0.000, 0.000, 0.000)
Re (0.378, 0.878, 0.000)
Re (0.622, 0.122, 0.000)
Re (0.878, 0.622, 0.000)
Re (0.122, 0.378, 0.000)

Formation energy = -0.224 eV/f.u.
Calculated total energy = -109.39 eV for the cell shown
Crystal system = tetragonal
ΔE to the lowest computed polymorph = 27 meV per atom
Volume = 15.9 Å³ per atom
Symmetry = P4/mbm, No. 127

(13)
Here is crystalline Y2ErPuS6 at its relaxed geometry from Alexandria via LeMat-Bulk. Energies are from GGA-PBE.

a b c (Å): 6.920 6.920 7.385
angles (deg): 62.06 62.06 60.00
Last column: magnetic moment on the atom in μB.
Element x y z (fractional)
S (0.411, 0.715, 0.754)  -0.03
S (0.612, 0.219, 0.250)  -0.03
S (0.121, 0.411, 0.754)  -0.03
S (0.219, 0.919, 0.250)  -0.03
S (0.715, 0.121, 0.754)  -0.03
S (0.919, 0.612, 0.250)  -0.03
Pu (0.815, 0.815, 0.554)  5.01
Y (0.517, 0.517, 0.449)  0.02
Y (0.016, 0.016, 0.952)  0.02
Er (0.317, 0.317, 0.050)  0.01

Calculated total energy = -75.80 eV for the cell shown
Crystal system = trigonal
Volume = 25.8 Å³ per atom
Energy relative to the elements, uncorrected = -1.9214 eV/atom
Symmetry = R3, No. 146

(14)
Here is crystalline Th6Te5Pt at its relaxed geometry from Alexandria via LeMat-Bulk. Energies are from GGA-PBE.

a b c (Å): 7.604 8.920 7.732
angles (deg): 107.50 99.66 124.16
Element x y z (fractional)
Th (0.474, 0.214, 0.000)
Th (0.526, 0.786, 0.000)
Th (0.845, 0.072, 0.692)
Th (0.154, 0.381, 0.308)
Th (0.846, 0.619, 0.692)
Th (0.155, 0.928, 0.308)
Te (0.658, 0.658, 0.315)
Te (0.000, 0.500, 0.000)
Te (0.342, 0.342, 0.685)
Te (0.686, 0.186, 0.372)
Te (0.314, 0.814, 0.628)
Pt (0.000, 0.000, 0.000)

Calculated total energy = -79.27 eV for the cell shown
Crystal system = monoclinic
Volume = 31.2 Å³ per atom
Energy relative to the elements, uncorrected = -1.0835 eV/atom
Symmetry = C2/m, No. 12

(15)
Here is crystalline CuRu2Br at its relaxed geometry from Alexandria via LeMat-Bulk. Energies are from GGA-PBE.

a b c (Å): 2.863 4.728 4.547
angles (deg): 90.00 90.00 90.00
Last column: magnetic moment on the atom in μB.
Element x y z (fractional)
Cu (0.000, 0.500, 0.500)  0.07
Ru (0.500, 0.500, 0.000)  0.82
Ru (0.000, 0.000, 0.000)  0.36
Br (0.500, 0.000, 0.500)  0.04

Calculated total energy = -20.66 eV for the cell shown
Crystal system = orthorhombic
ΔE to the lowest computed polymorph = 469 meV per atom
Volume = 15.4 Å³ per atom
Energy relative to the elements, uncorrected = 0.9147 eV/atom
Symmetry = Pmmm, No. 47

(16)
Here is crystalline InSi2Au at its relaxed geometry from Alexandria via LeMat-Bulk. Energies are from GGA-PBE.

a b c (Å): 3.738 3.738 6.980
angles (deg): 74.24 74.24 60.15
Element x y z (fractional)
Si (0.742, 0.742, 0.777)
Si (0.022, 0.022, 0.935)
In (0.249, 0.249, 0.250)
Au (0.487, 0.487, 0.538)

Calculated total energy = -16.41 eV for the cell shown
Crystal system = monoclinic
Volume = 20.1 Å³ per atom
Energy relative to the elements, uncorrected = 0.1126 eV/atom
Symmetry = Cm, No. 8

(17)
Here is crystalline MgTi2Pd8 at its relaxed geometry from Alexandria via LeMat-Bulk. Energies are from GGA-PBE.

a b c (Å): 4.141 7.251 7.167
angles (deg): 120.39 106.79 90.00
Element x y z (fractional)
Pd (0.853, 0.853, 0.706)
Pd (0.660, 0.878, 0.319)
Pd (0.000, 0.311, 0.000)
Pd (0.147, 0.147, 0.294)
Pd (0.660, 0.442, 0.319)
Pd (0.000, 0.689, 0.000)
Pd (0.340, 0.122, 0.681)
Pd (0.340, 0.558, 0.681)
Mg (0.500, 0.000, 0.000)
Ti (0.196, 0.696, 0.392)
Ti (0.804, 0.304, 0.608)

Formation energy = -5.648 eV/f.u.
Calculated total energy = -64.58 eV for the cell shown
Crystal system = orthorhombic
ΔE to the lowest computed polymorph = 46 meV per atom
Volume = 15.9 Å³ per atom
Symmetry = Immm, No. 71

(18)
Here is crystalline AgHPd3 at its relaxed geometry from Alexandria via LeMat-Bulk. Energies are from GGA-PBE.

a b c (Å): 5.008 4.977 5.738
angles (deg): 90.06 73.39 99.29
Element x y z (fractional)
Pd (0.960, 0.030, 0.038)
Pd (0.479, 0.777, 0.915)
Pd (0.958, 0.526, 0.792)
Pd (0.478, 0.283, 0.165)
Pd (0.479, 0.279, 0.652)
Pd (0.479, 0.785, 0.402)
H (0.333, 0.594, 0.689)
H (0.338, 0.092, 0.947)
Ag (0.975, 0.029, 0.536)
Ag (0.977, 0.531, 0.284)

Calculated total energy = -44.27 eV for the cell shown
Crystal system = triclinic
ΔE to the lowest computed polymorph = 2 meV per atom
Volume = 13.5 Å³ per atom
Symmetry = P1, No. 1

(19)
Here is crystalline Ga40Mo8Au at its relaxed geometry from Alexandria via LeMat-Bulk. Energies are from GGA-PBE.

a b c (Å): 9.587 9.587 9.587
angles (deg): 94.65 94.65 94.65
Element x y z (fractional)
Ga (0.537, 0.673, 0.778)
Ga (0.500, 0.500, 0.000)
Ga (0.743, 0.875, 0.054)
Ga (0.785, 0.599, 0.968)
Ga (0.179, 0.679, 0.125)
Ga (0.821, 0.321, 0.875)
Ga (0.875, 0.054, 0.743)
Ga (0.611, 0.266, 0.635)
Ga (0.599, 0.968, 0.785)
Ga (0.778, 0.537, 0.673)
Ga (0.463, 0.327, 0.222)
Ga (0.054, 0.743, 0.875)
Ga (0.500, 0.500, 0.500)
Ga (0.215, 0.401, 0.032)
Ga (0.032, 0.215, 0.401)
Ga (0.734, 0.365, 0.389)
Ga (0.365, 0.389, 0.734)
Ga (0.125, 0.179, 0.679)
Ga (0.875, 0.821, 0.321)
Ga (0.389, 0.734, 0.365)
Ga (0.222, 0.463, 0.327)
Ga (0.550, 0.220, 0.927)
Ga (0.000, 0.500, 0.500)
Ga (0.401, 0.032, 0.215)
Ga (0.450, 0.780, 0.073)
Ga (0.635, 0.611, 0.266)
Ga (0.946, 0.257, 0.125)
Ga (0.679, 0.125, 0.179)
Ga (0.266, 0.635, 0.611)
Ga (0.327, 0.222, 0.463)
Ga (0.968, 0.785, 0.599)
Ga (0.500, 0.000, 0.500)
Ga (0.927, 0.550, 0.220)
Ga (0.125, 0.946, 0.257)
Ga (0.673, 0.778, 0.537)
Ga (0.321, 0.875, 0.821)
Ga (0.220, 0.927, 0.550)
Ga (0.073, 0.450, 0.780)
Ga (0.780, 0.073, 0.450)
Ga (0.257, 0.125, 0.946)
Mo (0.888, 0.291, 0.614)
Mo (0.798, 0.798, 0.798)
Mo (0.386, 0.112, 0.709)
Mo (0.291, 0.614, 0.888)
Mo (0.709, 0.386, 0.112)
Mo (0.614, 0.888, 0.291)
Mo (0.202, 0.202, 0.202)
Mo (0.112, 0.709, 0.386)
Au (0.000, 0.000, 0.000)

Formation energy = -7.713 eV/f.u.
Calculated total energy = -218.71 eV for the cell shown
Crystal system = trigonal
Volume = 17.8 Å³ per atom
Symmetry = R-3, No. 148

(20)
Here is crystalline La4Ni2Hg5 at its relaxed geometry from Alexandria via LeMat-Bulk. Energies are from GGA-PBE.

a b c (Å): 3.834 7.857 9.601
angles (deg): 93.47 90.00 90.00
Element x y z (fractional)
La (0.500, 0.819, 0.156)
La (0.500, 0.224, 0.433)
La (0.500, 0.181, 0.844)
La (0.500, 0.776, 0.567)
Hg (0.000, 0.443, 0.668)
Hg (0.000, 0.837, 0.857)
Hg (0.000, 0.557, 0.332)
Hg (0.000, 0.163, 0.143)
Hg (0.000, 0.500, 0.000)
Ni (0.000, 0.069, 0.626)
Ni (0.000, 0.931, 0.374)

Formation energy = -4.841 eV/f.u.
Calculated total energy = -37.62 eV for the cell shown
Crystal system = monoclinic
Volume = 26.2 Å³ per atom
Symmetry = P2/m, No. 10